Version w
VASP calculation (PBE-GGA) on an optimized crystal structure of Tm2TiH.

Cell lengths 3.1509, 3.1509, 7.6555 Å; angles 90.00, 90.00, 90.00 degrees
Positions (direct):
Tm 0.0000 0.0000 0.2164
Tm 0.0000 0.0000 0.7836
Ti 0.5000 0.5000 0.5000
H 0.5000 0.5000 0.0000

Computed properties:
magnetic moment: 0.0 μB/f.u.



Version x
VASP calculation (PBE-GGA) on an optimized crystal structure of Tm2TiH.

Cell lengths 8.7650, 8.7650, 8.7650 Å; angles 21.44, 21.44, 21.44 degrees
Positions (direct):
Tm 0.1142 0.1142 0.1142
Tm 0.8858 0.8858 0.8858
Ti 0.0000 0.0000 0.0000
H 0.5000 0.5000 0.5000

Computed properties:
magnetic moment: 0.0 μB/f.u.



Which is more stable than every other structure shown? version w is more stable than every other one.